Record 1
# CePm2Ge2 | the Alexandria database | PBE-GGA | optimized geometry
# **Total moment**: 3.29 μB per cell
# **Energy of formation**: -0.566 eV/atom
# **E**: -109.991 eV for the cell shown
# **Mass density**: 7.31 g cm⁻³
data_CePm2Ge2
_chemical_formula_sum 'Ce4 Pm8 Ge8'
_cell_length_a 10.192
_cell_length_b 7.996
_cell_length_c 6.413
_cell_angle_alpha 90.00
_cell_angle_beta 90.35
_cell_angle_gamma 90.00
_space_group_name_H-M_alt 'P 1 21/c 1'
_space_group_IT_number 14
loop_
_space_group_symop_operation_xyz
'x,y,z'
'-x,-y,-z'
'-x,y+1/2,-z+1/2'
'x,-y+1/2,z+1/2'
loop_
_atom_site_label
_atom_site_fract_x
_atom_site_fract_y
_atom_site_fract_z
Ce1 0.130 0.223 0.006
Pm1 0.207 0.615 0.768
Pm2 0.480 0.249 0.996
Ge1 0.065 0.561 0.214
Ge2 0.329 0.521 0.243

Record 2
# Ce3PmGe4 | the Alexandria database | PBE-GGA | optimized geometry
# **Total moment**: 3.75 μB per cell
# **Energy of formation**: -0.595 eV/atom
# **E**: -91.558 eV for the cell shown
# **Mass density**: 6.65 g cm⁻³
data_Ce3PmGe4
_chemical_formula_sum 'Ce6 Pm2 Ge8'
_cell_length_a 4.034
_cell_length_b 6.571
_cell_length_c 16.127
_cell_angle_alpha 90.00
_cell_angle_beta 90.00
_cell_angle_gamma 90.00
_space_group_name_H-M_alt 'I m m m'
_space_group_IT_number 71
_space_group_name_Hall '-I 2 2'
loop_
_atom_site_label
_atom_site_fract_x
_atom_site_fract_y
_atom_site_fract_z
Ce1 0.000 0.000 0.000
Ce2 0.000 0.500 0.197
Pm1 0.000 0.000 0.500
Ge1 0.000 0.309 0.369

Record 3
# CePm2Ge | the Alexandria database | PBE-GGA | optimized geometry
# **Total moment**: 0.02 μB per cell
# **Energy of formation**: -0.296 eV/atom
# **E**: -21.237 eV for the cell shown
# **Mass density**: 7.80 g cm⁻³
data_CePm2Ge
_chemical_formula_sum 'Ce1 Pm2 Ge1'
_cell_length_a 3.896
_cell_length_b 3.896
_cell_length_c 7.048
_cell_angle_alpha 90.00
_cell_angle_beta 90.00
_cell_angle_gamma 90.00
_space_group_name_H-M_alt 'P 4/m m m'
_space_group_IT_number 123
_space_group_name_Hall '-P 4 2'
loop_
_atom_site_label
_atom_site_fract_x
_atom_site_fract_y
_atom_site_fract_z
Ce1 0.000 0.000 0.000
Pm1 0.500 0.500 0.285
Ge1 0.000 0.000 0.500

Record 4
# Ce2Pm2Ge | the Alexandria database | PBE-GGA | optimized geometry
# **Total moment**: 0.00 μB per cell
# **Energy of formation**: 0.049 eV/atom
# **E**: -51.486 eV for the cell shown
# **Mass density**: 7.34 g cm⁻³
data_Ce2Pm2Ge
_chemical_formula_sum 'Ce4 Pm4 Ge2'
_cell_length_a 3.862
_cell_length_b 3.862
_cell_length_c 19.513
_cell_angle_alpha 90.00
_cell_angle_beta 90.00
_cell_angle_gamma 90.00
_space_group_name_H-M_alt 'I 4/m m m'
_space_group_IT_number 139
_space_group_name_Hall '-I 4 2'
loop_
_atom_site_label
_atom_site_fract_x
_atom_site_fract_y
_atom_site_fract_z
Ce1 0.000 0.500 0.250
Pm1 0.000 0.000 0.080
Ge1 0.000 0.000 0.500

Record 5
# CePm3Ge2 | the Alexandria database | PBE-GGA | optimized geometry
# **Total moment**: 5.94 μB per cell
# **Energy of formation**: -0.293 eV/atom
# **E**: -187.088 eV for the cell shown
# **Mass density**: 6.83 g cm⁻³
data_CePm3Ge2
_chemical_formula_sum 'Ce6 Pm18 Ge12'
_cell_length_a 7.6726
_cell_length_b 7.6726
_cell_length_c 20.6005
_cell_angle_alpha 90.00
_cell_angle_beta 90.00
_cell_angle_gamma 120.00
_space_group_name_H-M_alt 'R -3 c'
_space_group_IT_number 167
_space_group_name_Hall '-R 3 2"c'
loop_
_atom_site_label
_atom_site_fract_x
_atom_site_fract_y
_atom_site_fract_z
Ce1 0.0000 0.0000 0.0000
Pm1 0.0000 0.2769 0.2500
Ge1 0.0000 0.0000 0.1448

Record 6
# CePm6Ge3 | the Alexandria database | PBE-GGA | optimized geometry
# **Total moment**: 9.07 μB per cell
# **Energy of formation**: -0.460 eV/atom
# **E**: -211.560 eV for the cell shown
# **Mass density**: 6.83 g cm⁻³
data_CePm6Ge3
_chemical_formula_sum 'Ce4 Pm24 Ge12'
_cell_length_a 11.171
_cell_length_b 13.121
_cell_length_c 8.153
_cell_angle_alpha 90.00
_cell_angle_beta 90.00
_cell_angle_gamma 90.00
_space_group_name_H-M_alt 'C m c 21'
_space_group_IT_number 36
loop_
_space_group_symop_operation_xyz
'x,y,z'
'-x,-y,z+1/2'
'-x,y,z'
'x,-y,z+1/2'
'x+1/2,y+1/2,z'
'-x+1/2,-y+1/2,z+1/2'
'-x+1/2,y+1/2,z'
'x+1/2,-y+1/2,z+1/2'
loop_
_atom_site_label
_atom_site_fract_x
_atom_site_fract_y
_atom_site_fract_z
Ce1 0.000 0.167 0.000
Pm1 0.000 0.273 0.523
Pm2 0.000 0.467 0.182
Pm3 0.166 0.060 0.653
Pm4 0.243 0.315 0.798
Ge1 0.000 0.074 0.350
Ge2 0.195 0.416 0.459

Record 7
# Ce4PmGe3 | the Alexandria database | PBE-GGA | optimized geometry
# **Total moment**: 4.33 μB per cell
# **Energy of formation**: -0.356 eV/atom
# **E**: -90.375 eV for the cell shown
# **Mass density**: 7.47 g cm⁻³
data_Ce4PmGe3
_chemical_formula_sum 'Ce8 Pm2 Ge6'
_cell_length_a 24.050
_cell_length_b 4.424
_cell_length_c 3.886
_cell_angle_alpha 90.00
_cell_angle_beta 97.02
_cell_angle_gamma 90.00
_space_group_name_H-M_alt 'C 1 2/m 1'
_space_group_IT_number 12
loop_
_space_group_symop_operation_xyz
'x,y,z'
'-x,-y,-z'
'-x,y,-z'
'x,-y,z'
'x+1/2,y+1/2,z'
'-x+1/2,-y+1/2,-z'
'-x+1/2,y+1/2,-z'
'x+1/2,-y+1/2,z'
loop_
_atom_site_label
_atom_site_fract_x
_atom_site_fract_y
_atom_site_fract_z
Ce1 0.107 0.000 0.160
Ce2 0.174 0.500 0.950
Pm1 0.000 0.500 0.000
Ge1 0.000 0.000 0.500
Ge2 0.219 0.000 0.504

Record 8
# CePmGe4 | the Alexandria database | PBE-GGA | optimized geometry
# **Total moment**: 1.39 μB per cell
# **Energy of formation**: -0.375 eV/atom
# **E**: -125.625 eV for the cell shown
# **Mass density**: 7.47 g cm⁻³
data_CePmGe4
_chemical_formula_sum 'Ce4 Pm4 Ge16'
_cell_length_a 8.000
_cell_length_b 8.000
_cell_length_c 8.000
_cell_angle_alpha 90.00
_cell_angle_beta 90.00
_cell_angle_gamma 90.00
_space_group_name_H-M_alt 'F -4 3 m'
_space_group_IT_number 216
_space_group_name_Hall 'F -4 2 3'
loop_
_atom_site_label
_atom_site_fract_x
_atom_site_fract_y
_atom_site_fract_z
Ce1 0.000 0.000 0.000
Pm1 0.250 0.250 0.250
Ge1 0.125 0.125 0.625